The following is a DFT calculation (GGA-PBE) of Zn4FePt after structural relaxation.

Structure (CIF):
```
data_Zn4FePt
_chemical_formula_sum 'Zn4 Fe1 Pt1'
_space_group_name_H-M_alt 'P 1'
_space_group_IT_number 1
_cell_length_a 4.9218
_cell_length_b 4.9218
_cell_length_c 4.9218
_cell_angle_alpha 60.00
_cell_angle_beta 60.00
_cell_angle_gamma 60.00
loop_
_space_group_symop_operation_xyz
'x,y,z'
loop_
_atom_site_label
_atom_site_fract_x
_atom_site_fract_y
_atom_site_fract_z
Zn1 0.3753 0.8740 0.3753
Zn2 0.8740 0.3753 0.3753
Zn3 0.3753 0.3753 0.8740
Zn4 0.3753 0.3753 0.3753
Pt1 0.0000 0.0000 0.0000
Fe1 0.7500 0.7500 0.7500
```

Computed properties:
Crystal system: cubic
Energy of formation, eV/atom: -0.007
Total magnetic moment, μB/f.u.: 3.0

---

The following is a DFT calculation (GGA-PBE) of ZnFePt6 after structural relaxation.

Structure (CIF):
```
data_ZnFePt6
_chemical_formula_sum 'Zn1 Fe1 Pt6'
_space_group_name_H-M_alt 'P 1'
_space_group_IT_number 1
_cell_length_a 3.9297
_cell_length_b 3.9297
_cell_length_c 7.8143
_cell_angle_alpha 90.00
_cell_angle_beta 90.00
_cell_angle_gamma 90.00
loop_
_space_group_symop_operation_xyz
'x,y,z'
loop_
_atom_site_label
_atom_site_fract_x
_atom_site_fract_y
_atom_site_fract_z
Pt1 0.5000 0.0000 0.2538
Pt2 0.0000 0.5000 0.2538
Pt3 0.5000 0.0000 0.7462
Pt4 0.0000 0.5000 0.7462
Pt5 0.5000 0.5000 0.5000
Pt6 0.5000 0.5000 0.0000
Zn1 0.0000 0.0000 0.0000
Fe1 0.0000 0.0000 0.5000
```

Computed properties:
Crystal system: tetragonal
Energy of formation, eV/atom: -0.289
Total magnetic moment, μB/f.u.: 4.7

---

The following is a DFT calculation (GGA-PBE) of ZrZnFePt after structural relaxation.

Structure (CIF):
```
data_ZrZnFePt
_chemical_formula_sum 'Zr1 Zn1 Fe1 Pt1'
_space_group_name_H-M_alt 'P 1'
_space_group_IT_number 1
_cell_length_a 4.4317
_cell_length_b 4.4317
_cell_length_c 4.4317
_cell_angle_alpha 60.00
_cell_angle_beta 60.00
_cell_angle_gamma 60.00
loop_
_space_group_symop_operation_xyz
'x,y,z'
loop_
_atom_site_label
_atom_site_fract_x
_atom_site_fract_y
_atom_site_fract_z
Zr1 0.2500 0.2500 0.2500
Fe1 0.0000 0.0000 0.0000
Pt1 0.5000 0.5000 0.5000
Zn1 0.7500 0.7500 0.7500
```

Computed properties:
Crystal system: cubic
Energy of formation, eV/atom: -0.419
Total magnetic moment, μB/f.u.: 0.0

---

The following is a DFT calculation (GGA-PBE) of Zr2FePt after structural relaxation.

Structure (CIF):
```
data_Zr2FePt
_chemical_formula_sum 'Zr2 Fe1 Pt1'
_space_group_name_H-M_alt 'P 1'
_space_group_IT_number 1
_cell_length_a 4.6574
_cell_length_b 4.6574
_cell_length_c 4.6574
_cell_angle_alpha 60.00
_cell_angle_beta 60.00
_cell_angle_gamma 60.00
loop_
_space_group_symop_operation_xyz
'x,y,z'
loop_
_atom_site_label
_atom_site_fract_x
_atom_site_fract_y
_atom_site_fract_z
Pt1 0.5000 0.5000 0.5000
Zr1 0.7500 0.7500 0.7500
Zr2 0.2500 0.2500 0.2500
Fe1 0.0000 0.0000 0.0000
```

Computed properties:
Crystal system: cubic
Energy above the most stable polymorph in this dataset, meV per atom: 38
Energy of formation, eV/atom: -0.527
Total magnetic moment, μB/f.u.: 1.2

---

The following is a DFT calculation (GGA-PBE) of ZrFePt after structural relaxation.

Structure (CIF):
```
data_ZrFePt
_chemical_formula_sum 'Zr1 Fe1 Pt1'
_space_group_name_H-M_alt 'P 1'
_space_group_IT_number 1
_cell_length_a 5.0105
_cell_length_b 5.0105
_cell_length_c 5.0105
_cell_angle_alpha 140.63
_cell_angle_beta 140.59
_cell_angle_gamma 56.93
loop_
_space_group_symop_operation_xyz
'x,y,z'
loop_
_atom_site_label
_atom_site_fract_x
_atom_site_fract_y
_atom_site_fract_z
Fe1 0.9968 0.9968 0.0000
Zr1 0.6658 0.6658 0.0000
Pt1 0.3374 0.3374 0.0000
```

Computed properties:
Crystal system: tetragonal
Energy of formation, eV/atom: -0.463
Total magnetic moment, μB/f.u.: 2.5

---

The following is a DFT calculation (GGA-PBE) of ZrFe2Pt5 after structural relaxation.

Structure (CIF):
```
data_ZrFe2Pt5
_chemical_formula_sum 'Zr2 Fe4 Pt10'
_space_group_name_H-M_alt 'P 1'
_space_group_IT_number 1
_cell_length_a 4.6546
_cell_length_b 5.5345
_cell_length_c 10.0744
_cell_angle_alpha 90.00
_cell_angle_beta 90.00
_cell_angle_gamma 89.96
loop_
_space_group_symop_operation_xyz
'x,y,z'
loop_
_atom_site_label
_atom_site_fract_x
_atom_site_fract_y
_atom_site_fract_z
Pt1 0.5002 0.2925 0.0947
Pt2 0.4998 0.2075 0.5947
Pt3 0.9998 0.2594 0.7527
Pt4 0.0002 0.2406 0.2527
Pt5 0.0000 0.5000 0.5000
Pt6 0.0002 0.7406 0.2473
Pt7 0.4998 0.7075 0.9053
Pt8 0.0000 0.0000 0.0000
Pt9 0.9998 0.7594 0.7473
Pt10 0.5002 0.7925 0.4053
Zr1 0.0000 0.5000 0.0000
Zr2 0.0000 0.0000 0.5000
Fe1 0.4999 0.1653 0.8507
Fe2 0.5001 0.3347 0.3507
Fe3 0.4999 0.6653 0.6493
Fe4 0.5001 0.8347 0.1493
```

Computed properties:
Crystal system: orthorhombic
Energy of formation, eV/atom: -0.390
Total magnetic moment, μB/f.u.: 7.2

---

The following is a DFT calculation (GGA-PBE) of Zr2FePt after structural relaxation.

Structure (CIF):
```
data_Zr2FePt
_chemical_formula_sum 'Zr2 Fe1 Pt1'
_space_group_name_H-M_alt 'P 1'
_space_group_IT_number 1
_cell_length_a 3.6057
_cell_length_b 3.6057
_cell_length_c 7.3245
_cell_angle_alpha 82.18
_cell_angle_beta 82.18
_cell_angle_gamma 51.53
loop_
_space_group_symop_operation_xyz
'x,y,z'
loop_
_atom_site_label
_atom_site_fract_x
_atom_site_fract_y
_atom_site_fract_z
Zr1 0.5003 0.5003 0.5267
Zr2 0.9997 0.9997 0.9733
Pt1 0.2500 0.2500 0.2500
Fe1 0.7500 0.7500 0.7500
```

Computed properties:
Crystal system: monoclinic
Energy above the most stable polymorph in this dataset, meV per atom: 305
Energy of formation, eV/atom: -0.259
Total magnetic moment, μB/f.u.: 0.0

---

The following is a DFT calculation (GGA-PBE) of ZrFe3Pt after structural relaxation.

Structure (CIF):
```
data_ZrFe3Pt
_chemical_formula_sum 'Zr1 Fe3 Pt1'
_space_group_name_H-M_alt 'P 1'
_space_group_IT_number 1
_cell_length_a 4.6332
_cell_length_b 4.6332
_cell_length_c 4.6332
_cell_angle_alpha 90.00
_cell_angle_beta 90.00
_cell_angle_gamma 90.00
loop_
_space_group_symop_operation_xyz
'x,y,z'
loop_
_atom_site_label
_atom_site_fract_x
_atom_site_fract_y
_atom_site_fract_z
Pt1 0.0000 0.0000 0.0000
Fe1 0.5000 0.0000 0.0000
Fe2 0.0000 0.0000 0.5000
Fe3 0.0000 0.5000 0.0000
Zr1 0.5000 0.5000 0.5000
```

Computed properties:
Crystal system: cubic
Energy above the most stable polymorph in this dataset, meV per atom: 0
Energy of formation, eV/atom: 0.864
Total magnetic moment, μB/f.u.: 7.7

---

> Look up the total magnetic moment of the first one.

3.0 μB/f.u.

---

> energy of formation of number 1 (Zn4FePt)?

-0.007 eV/atom

---

> Among the records above, which one has the lowest energy of formation?

number 4

---

> Which of these has the highest total magnetic moment?

ZrFe3Pt